Record 1
VASP calculation (GGA-PBE) on crystalline CeNd2DyEr at its relaxed geometry.

## Properties
Calculated total energy in eV per atom: -4.647
Symmetry: No. 13
ρ in Mg/m³: 7.52

```
CeNd2DyEr
1.0
6.7277 0.0000 0.0000
0.0000 8.1431 0.0000
-0.0056 0.0000 6.1101
Ce Nd Dy Er
2 4 2 2
Direct
0.0000 0.0000 0.0000
0.0000 0.0000 0.5000
0.2649 0.3107 0.2504
0.2649 0.6893 0.7504
0.7351 0.3107 0.2496
0.7351 0.6893 0.7496
0.0000 0.3544 0.7500
0.0000 0.6456 0.2500
0.5000 0.1249 0.7500
0.5000 0.8751 0.2500
```

=====

Record 2
VASP calculation (GGA-PBE) on crystalline MgBe2TcPd at its relaxed geometry.

## Properties
Calculated total energy in eV per atom: -3.376
Symmetry: No. 123
ρ in Mg/m³: 5.09

```
MgBe2TcPd
1.0
4.2345 0.0000 0.0000
0.0000 4.2345 0.0000
0.0000 0.0000 4.4931
Mg Be Tc Pd
1 2 1 1
Direct
0.0000 0.0000 0.0000
0.0000 0.5000 0.0000
0.5000 0.0000 0.0000
0.0000 0.0000 0.5000
0.5000 0.5000 0.5000
```

=====

Record 3
VASP calculation (GGA-PBE) on crystalline ScPaSnRu at its relaxed geometry.

## Properties
Calculated total energy in eV per atom: -7.564
Symmetry: No. 216
ρ in Mg/m³: 10.19

```
ScPaSnRu
1.0
6.8629 0.0000 0.0000
0.0000 6.8629 0.0000
0.0000 0.0000 6.8629
Sc Pa Sn Ru
4 4 4 4
Direct
0.0000 0.0000 0.0000
0.0000 0.5000 0.5000
0.5000 0.0000 0.5000
0.5000 0.5000 0.0000
0.2500 0.2500 0.7500
0.2500 0.7500 0.2500
0.7500 0.2500 0.2500
0.7500 0.7500 0.7500
0.2500 0.2500 0.2500
0.2500 0.7500 0.7500
0.7500 0.2500 0.7500
0.7500 0.7500 0.2500
0.0000 0.0000 0.5000
0.0000 0.5000 0.0000
0.5000 0.0000 0.0000
0.5000 0.5000 0.5000
```

=====

Record 4
VASP calculation (GGA-PBE) on crystalline Ce2CrPN5 at its relaxed geometry.

## Properties
Symmetry: No. 36
Energy relative to the elements, uncorrected in eV per atom: -0.905
ρ in Mg/m³: 6.61

```
Ce2CrPN5
1.0
1.5744 -6.8500 0.0000
1.5744 6.8500 0.0000
0.0000 0.0000 10.0891
Ce Cr P N
4 2 2 10
Direct
0.1179 0.8821 0.5000
0.1441 0.8559 0.1444
0.8559 0.1441 0.6444
0.8821 0.1179 0.0000
0.2087 0.7913 0.8591
0.7913 0.2087 0.3591
0.4405 0.5595 0.2587
0.5595 0.4405 0.7587
0.0467 0.9533 0.8461
0.2903 0.7097 0.4870
0.3231 0.6769 0.2181
0.3466 0.6534 0.8321
0.4973 0.5027 0.6223
0.5027 0.4973 0.1223
0.6534 0.3466 0.3321
0.6769 0.3231 0.7181
0.7097 0.2903 0.9870
0.9533 0.0467 0.3461
```

=====

Record 5
VASP calculation (GGA-PBE) on crystalline Sb2TeBrN at its relaxed geometry.

## Properties
Offset from the most stable computed form in meV per atom: 0
Symmetry: No. 123
Energy relative to the elements, uncorrected in eV per atom: 0.689
ρ in Mg/m³: 6.62

```
Sb2TeBrN
1.0
4.9725 0.0000 0.0000
0.0000 4.9725 0.0000
0.0000 0.0000 4.7189
Sb Te Br N
2 1 1 1
Direct
0.0000 0.5000 0.0000
0.5000 0.0000 0.0000
0.0000 0.0000 0.5000
0.5000 0.5000 0.5000
0.0000 0.0000 0.0000
```

=====

Record 6
VASP calculation (GGA-PBE) on crystalline Al2CdRh2 at its relaxed geometry.

## Properties
Offset from the most stable computed form in meV per atom: 0
Symmetry: No. 127
ρ in Mg/m³: 8.06

```
Al2CdRh2
1.0
7.2705 0.0000 0.0000
0.0000 7.2705 0.0000
0.0000 0.0000 2.9005
Al Cd Rh
4 2 4
Direct
0.1342 0.3658 0.0000
0.3658 0.8658 0.0000
0.6342 0.1342 0.0000
0.8658 0.6342 0.0000
0.0000 0.0000 0.0000
0.5000 0.5000 0.0000
0.1592 0.6592 0.5000
0.3408 0.1592 0.5000
0.6592 0.8408 0.5000
0.8408 0.3408 0.5000
```

=====

Record 7
VASP calculation (GGA-PBE) on crystalline SrAl2Zn at its relaxed geometry.

## Properties
Calculated total energy in eV per atom: -2.644
Symmetry: No. 10
ρ in Mg/m³: 3.58

```
SrAl2Zn
1.0
3.5911 0.0000 0.0000
0.0000 4.4529 0.0000
-1.3339 0.0000 6.0001
Sr Al Zn
1 2 1
Direct
0.0000 0.0000 0.0000
0.3355 0.5000 0.6814
0.6645 0.5000 0.3186
0.5000 0.0000 0.5000
```

=====

Record 8
VASP calculation (GGA-PBE) on crystalline Sc5ZnGa at its relaxed geometry.

## Properties
Calculated total energy in eV per atom: -5.275
Symmetry: No. 15
ρ in Mg/m³: 3.83

```
Sc5ZnGa
1.0
4.0873 -4.0187 0.0000
4.0873 4.0187 0.0000
-0.3007 0.0000 9.5045
Sc Zn Ga
10 2 2
Direct
0.0300 0.6166 0.1749
0.1510 0.8490 0.7500
0.2446 0.4415 0.4982
0.3834 0.9700 0.3251
0.4415 0.2446 0.9982
0.5585 0.7554 0.0018
0.6166 0.0300 0.6749
0.7554 0.5585 0.5018
0.8490 0.1510 0.2500
0.9700 0.3834 0.8251
0.0000 0.0000 0.0000
0.0000 0.0000 0.5000
0.4980 0.5020 0.7500
0.5020 0.4980 0.2500
```

=====

Record 9
VASP calculation (GGA-PBE) on crystalline BaCdHO2 at its relaxed geometry.

## Properties
Calculated total energy in eV per atom: -3.834
Symmetry: No. 123
ρ in Mg/m³: 6.31

```
BaCdHO2
1.0
4.6367 0.0000 0.0000
0.0000 4.6367 0.0000
0.0000 0.0000 3.4592
Ba Cd H O
1 1 1 2
Direct
0.0000 0.0000 0.0000
0.5000 0.5000 0.0000
0.5000 0.5000 0.5000
0.0000 0.5000 0.5000
0.5000 0.0000 0.5000
```

=====

Record 10
VASP calculation (GGA-PBE) on crystalline Ca3SmH8 at its relaxed geometry.

## Properties
Calculated total energy in eV per atom: -3.705
Symmetry: No. 221
ρ in Mg/m³: 2.96

```
Ca3SmH8
1.0
5.3856 0.0000 0.0000
0.0000 5.3856 0.0000
0.0000 0.0000 5.3856
Ca Sm H
3 1 8
Direct
0.0000 0.0000 0.5000
0.0000 0.5000 0.0000
0.5000 0.0000 0.0000
0.5000 0.5000 0.5000
0.2519 0.2519 0.2519
0.2519 0.2519 0.7481
0.2519 0.7481 0.2519
0.2519 0.7481 0.7481
0.7481 0.2519 0.2519
0.7481 0.2519 0.7481
0.7481 0.7481 0.2519
0.7481 0.7481 0.7481
```

=====

Record 11
VASP calculation (GGA-PBE) on crystalline LaTi3Pb at its relaxed geometry.

## Properties
Offset from the most stable computed form in meV per atom: 0
Symmetry: No. 221
ρ in Mg/m³: 5.62

```
LaTi3Pb
1.0
5.2490 0.0000 0.0000
0.0000 5.2490 0.0000
0.0000 0.0000 5.2490
La Ti Pb
1 3 1
Direct
0.0000 0.0000 0.0000
0.0000 0.5000 0.5000
0.5000 0.0000 0.5000
0.5000 0.5000 0.0000
0.5000 0.5000 0.5000
```

=====

Record 12
VASP calculation (GGA-PBE) on crystalline NaLi2InPd at its relaxed geometry.

## Properties
Calculated total energy in eV per atom: -2.807
Symmetry: No. 123
ρ in Mg/m³: 3.49

```
NaLi2InPd
1.0
4.8687 0.0000 0.0000
0.0000 4.8687 0.0000
0.0000 0.0000 5.1851
Na Li In Pd
1 2 1 1
Direct
0.0000 0.0000 0.0000
0.0000 0.5000 0.5000
0.5000 0.0000 0.5000
0.5000 0.5000 0.0000
0.5000 0.5000 0.5000
```

=====

| no. | total moment (μB/atom) |
| --- | --- |
| 1 | 0.0895 |
| 2 | 0.1611 |
| 3 | 0.4337 |
| 4 | 0.3556 |
| 5 | 0.0000 |
| 6 | 0.0000 |
| 7 | 0.0000 |
| 8 | 0.0001 |
| 9 | 0.0000 |
| 10 | 0.0000 |
| 11 | 1.0332 |
| 12 | 0.0000 |